# 1
! Zr2RuN2 meta-GGA SCAN PBEsol geometry; values from VASP
! VASP energy	-23.68	eV/atom
! uncorrected formation energy	-3.602	eV/f.u.
&SYSTEM
  ibrav = 0, nat = 5, ntyp = 3
/
ATOMIC_SPECIES
Ru 101.07 Ru.upf
Zr 91.22 Zr.upf
N 14.01 N.upf
ATOMIC_POSITIONS crystal
Ru 0.0000 0.0000 0.0000
Zr 0.3405 0.3405 0.6810
Zr 0.6595 0.6595 0.3190
N 0.2500 0.7500 0.5000
N 0.7500 0.2500 0.5000
CELL_PARAMETERS angstrom
-3.3650 -1.4124 0.7228
0.7847 -2.9546 -2.1202
3.2857 -0.3711 4.9973

# 2
! TlInOs2 meta-GGA SCAN PBEsol geometry; values from VASP
! VASP energy	-61.19	eV/atom
! E_form	459	kJ/mol of formula units
&SYSTEM
  ibrav = 0, nat = 4, ntyp = 3
/
ATOMIC_SPECIES
In 114.82 In.upf
Os 190.23 Os.upf
Tl 204.38 Tl.upf
ATOMIC_POSITIONS crystal
In 0.5000 0.5000 0.5000
Os 0.0000 0.0000 0.0000
Os 0.2500 0.2500 0.2500
Tl 0.7500 0.7500 0.7500
CELL_PARAMETERS angstrom
4.6094 0.0000 0.0000
2.3047 3.9918 0.0000
2.3047 1.3306 3.7635